First-principles (PBE) data for a relaxed structure of YSn2Pd2, as listed in Alexandria.

crystal system: tetragonal
formation energy from the elements: -0.564 eV/atom
space group: P4/mbm

a = 7.8640 Å, b = 7.8640 Å, c = 3.4096 Å
α = 90.00°, β = 90.00°, γ = 90.00°
Closest atoms and distances in Å follow each position.
Fractional coordinates of all 10 atoms:
Y (0.0000, 0.0000, 0.0000)  4 Pd 3.10, 8 Sn 3.39, 2 Y 3.41
Y (0.5000, 0.5000, 0.0000)  4 Pd 3.10, 8 Sn 3.39, 2 Y 3.41
Sn (0.1670, 0.3330, 0.5000)  6 Pd 2.86-2.89
Sn (0.3330, 0.8330, 0.5000)  6 Pd 2.86-2.89
Sn (0.6670, 0.1670, 0.5000)  6 Pd 2.86-2.89
Sn (0.8330, 0.6670, 0.5000)  6 Pd 2.86-2.89
Pd (0.1263, 0.6263, 0.0000)  1 Pd 2.81, 6 Sn 2.86-2.89, 2 Y 3.10
Pd (0.3737, 0.1263, 0.0000)  1 Pd 2.81, 6 Sn 2.86-2.89, 2 Y 3.10
Pd (0.6263, 0.8737, 0.0000)  1 Pd 2.81, 6 Sn 2.86-2.89, 2 Y 3.10
Pd (0.8737, 0.3737, 0.0000)  1 Pd 2.81, 6 Sn 2.86-2.89, 2 Y 3.10



First-principles (PBE) data for a relaxed structure of TiAlPPd2, as listed in Alexandria.

crystal system: tetragonal
formation energy from the elements: 0.441 eV/atom
space group: P4/mmm

a = 4.7289 Å, b = 4.7289 Å, c = 4.5848 Å
α = 90.00°, β = 90.00°, γ = 90.00°
Closest atoms and distances in Å follow each position.
Fractional coordinates of all 5 atoms:
Ti (0.0000, 0.0000, 0.0000)  2 P 2.29, 4 Pd 2.36
Al (0.5000, 0.5000, 0.5000)  8 Pd 3.29, 4 P 3.34
P (0.0000, 0.0000, 0.5000)  2 Ti 2.29
Pd (0.0000, 0.5000, 0.0000)  2 Ti 2.36
Pd (0.5000, 0.0000, 0.0000)  2 Ti 2.36



First-principles (PBE) data for a relaxed structure of Pm2PrAl2, as listed in Alexandria.

crystal system: monoclinic
formation energy from the elements: -0.116 eV/atom
space group: P2_1/m
polymorph energy (0 for the lowest one): 182 meV per atom

a = 5.7778 Å, b = 3.7843 Å, c = 13.5360 Å
α = 90.00°, β = 95.95°, γ = 90.00°
Closest atoms and distances in Å follow each position.
Fractional coordinates of all 10 atoms:
Pm (0.1451, 0.2500, 0.1107)  5 Al 2.98-3.12
Pm (0.2591, 0.7500, 0.5392)  4 Al 3.26-3.30, 4 Pm 3.61-3.62, 2 Pr 3.61
Pm (0.7409, 0.2500, 0.4608)  4 Al 3.26-3.30, 4 Pm 3.61-3.62, 2 Pr 3.61
Pm (0.8549, 0.7500, 0.8893)  5 Al 2.98-3.12
Pr (0.3230, 0.2500, 0.7678)  2 Al 3.23, 2 Pm 3.61
Pr (0.6770, 0.7500, 0.2322)  2 Al 3.23, 2 Pm 3.61
Al (0.2119, 0.2500, 0.3422)  5 Pm 3.12-3.30
Al (0.3604, 0.7500, 0.9622)  2 Al 2.62
Al (0.6396, 0.2500, 0.0378)  2 Al 2.62
Al (0.7881, 0.7500, 0.6578)  5 Pm 3.12-3.30



First-principles (PBE) data for a relaxed structure of Tl3Rh2S4, as listed in Alexandria.

crystal system: monoclinic
energy relative to the elements, uncorrected: -0.282 eV/atom
space group: C2/m

a = 7.4778 Å, b = 7.4778 Å, c = 8.7353 Å
α = 102.83°, β = 102.83°, γ = 27.79°
Closest atoms and distances in Å follow each position.
Fractional coordinates of all 9 atoms:
Tl (0.0000, 0.0000, 0.0000)  6 S 3.06-3.17
Tl (0.3747, 0.3747, 0.4660)  4 S 2.99-3.23, 2 Rh 3.26
Tl (0.6253, 0.6253, 0.5340)  4 S 2.99-3.23, 2 Rh 3.26
Rh (0.2420, 0.2420, 0.8259)  5 S 2.37-2.40
Rh (0.7580, 0.7580, 0.1741)  5 S 2.37-2.40
S (0.1777, 0.1777, 0.2675)  2 Rh 2.38
S (0.3400, 0.3400, 0.0875)  3 Rh 2.37-2.40
S (0.6600, 0.6600, 0.9125)  3 Rh 2.37-2.40
S (0.8223, 0.8223, 0.7325)  2 Rh 2.38



First-principles (PBE) data for a relaxed structure of LiHo2InHg4, as listed in Alexandria.

crystal system: trigonal
formation energy from the elements: -0.421 eV/atom
space group: R-3m

a = 8.7499 Å, b = 8.7499 Å, c = 8.7499 Å
α = 33.67°, β = 33.67°, γ = 33.67°
Closest atoms and distances in Å follow each position.
Fractional coordinates of all 8 atoms:
Li (0.0000, 0.0000, 0.0000)  8 Hg 2.89-3.05
Ho (0.2458, 0.2458, 0.2458)  8 Hg 3.01-3.21
Ho (0.7542, 0.7542, 0.7542)  8 Hg 3.01-3.21
In (0.5000, 0.5000, 0.5000)  8 Hg 3.18-3.28, 6 Ho 3.52
Hg (0.1166, 0.1166, 0.1166)  1 Li 2.89, 4 Ho 3.01-3.19, 3 In 3.18
Hg (0.3676, 0.3676, 0.3676)  4 Ho 3.01-3.21, 3 Li 3.05, 1 In 3.28
Hg (0.6324, 0.6324, 0.6324)  4 Ho 3.01-3.21, 3 Li 3.05, 1 In 3.28
Hg (0.8834, 0.8834, 0.8834)  1 Li 2.89, 4 Ho 3.01-3.19, 3 In 3.18



First-principles (PBE) data for a relaxed structure of Mg2PaGaGe2, as listed in Alexandria.

crystal system: orthorhombic
formation energy from the elements: -0.228 eV/atom
space group: Pmc2_1

a = 4.4908 Å, b = 8.4820 Å, c = 6.3572 Å
α = 90.00°, β = 90.00°, γ = 90.00°
Closest atoms and distances in Å follow each position.
Fractional coordinates of all 12 atoms:
Mg (0.0000, 0.0518, 0.0000)  3 Ge 2.90-2.95, 4 Mg 3.07-3.11, 1 Ga 3.09
Mg (0.0000, 0.9482, 0.5000)  3 Ge 2.90-2.95, 4 Mg 3.07-3.11, 1 Ga 3.09
Mg (0.5000, 0.1537, 0.3000)  4 Ge 2.73-2.80
Mg (0.5000, 0.8463, 0.8000)  4 Ge 2.73-2.80
Pa (0.5000, 0.4781, 0.9815)  4 Ga 3.07-3.16, 5 Ge 3.07-3.11, 2 Pa 3.20, 2 Mg 3.33-3.42
Pa (0.5000, 0.5219, 0.4815)  4 Ga 3.07-3.16, 5 Ge 3.07-3.11, 2 Pa 3.20, 2 Mg 3.33-3.42
Ga (0.0000, 0.3328, 0.6916)  4 Ge 2.67-2.83
Ga (0.0000, 0.6672, 0.1916)  4 Ge 2.67-2.83
Ge (0.0000, 0.3368, 0.2509)  3 Mg 2.75-2.90, 2 Ga 2.80-2.83, 2 Pa 3.07
Ge (0.0000, 0.6632, 0.7509)  3 Mg 2.75-2.90, 2 Ga 2.80-2.83, 2 Pa 3.07
Ge (0.5000, 0.1655, 0.7394)  2 Ga 2.67, 4 Mg 2.73-2.95
Ge (0.5000, 0.8345, 0.2394)  2 Ga 2.67, 4 Mg 2.73-2.95



First-principles (PBE) data for a relaxed structure of Pm2SnI3, as listed in Alexandria.

crystal system: monoclinic
energy relative to the elements, uncorrected: -1.054 eV/atom
space group: C2/m

a = 10.4208 Å, b = 10.4208 Å, c = 14.0407 Å
α = 127.63°, β = 127.63°, γ = 24.20°
Closest atoms and distances in Å follow each position.
Fractional coordinates of all 12 atoms:
Pm (0.1092, 0.1092, 0.4319)  2 Sn 3.14-3.34, 5 I 3.16-3.48
Pm (0.3731, 0.3731, 0.1748)  2 Sn 3.13, 4 I 3.17-3.25
Pm (0.6269, 0.6269, 0.8252)  2 Sn 3.13, 4 I 3.17-3.25
Pm (0.8908, 0.8908, 0.5681)  2 Sn 3.14-3.34, 5 I 3.16-3.48
Sn (0.0668, 0.0668, 0.6264)  1 Sn 2.82, 3 Pm 3.13-3.14
Sn (0.9332, 0.9332, 0.3736)  1 Sn 2.82, 3 Pm 3.13-3.14
I (0.1741, 0.1741, 0.0304)  3 Pm 3.21-3.25
I (0.2581, 0.2581, 0.3857)  3 Pm 3.16-3.48
I (0.4534, 0.4534, 0.7782)  3 Pm 3.17-3.23
I (0.5466, 0.5466, 0.2218)  3 Pm 3.17-3.23
I (0.7419, 0.7419, 0.6143)  3 Pm 3.16-3.48
I (0.8259, 0.8259, 0.9696)  3 Pm 3.21-3.25



First-principles (PBE) data for a relaxed structure of Pr2NdGa6, as listed in Alexandria.

crystal system: hexagonal
formation energy from the elements: -0.688 eV/atom
space group: P6/mmm
polymorph energy (0 for the lowest one): 0 meV per atom

a = 7.4234 Å, b = 7.4234 Å, c = 4.3456 Å
α = 90.00°, β = 90.00°, γ = 120.00°
Closest atoms and distances in Å follow each position.
Fractional coordinates of all 9 atoms:
Pr (0.3333, 0.6667, 0.0000)  12 Ga 3.29
Pr (0.6667, 0.3333, 0.0000)  12 Ga 3.29
Nd (0.0000, 0.0000, 0.0000)  12 Ga 3.29
Ga (0.0000, 0.3330, 0.5000)  3 Ga 2.47-2.48
Ga (0.0000, 0.6670, 0.5000)  3 Ga 2.47-2.48
Ga (0.3330, 0.0000, 0.5000)  3 Ga 2.47-2.48
Ga (0.3330, 0.3330, 0.5000)  3 Ga 2.47-2.48
Ga (0.6670, 0.0000, 0.5000)  3 Ga 2.47-2.48
Ga (0.6670, 0.6670, 0.5000)  3 Ga 2.47-2.48



First-principles (PBE) data for a relaxed structure of K2SrTlSe4, as listed in Alexandria.

crystal system: orthorhombic
energy relative to the elements, uncorrected: -0.911 eV/atom
space group: Imma

a = 9.0406 Å, b = 9.0406 Å, c = 9.0406 Å
α = 126.18°, β = 115.16°, γ = 89.11°
Closest atoms and distances in Å follow each position.
Fractional coordinates of all 16 atoms:
K (0.0000, 0.0000, 0.0000)  6 Se 3.28-3.29
K (0.5000, 0.0000, 0.0000)  6 Se 3.33-3.51
K (0.5000, 0.0000, 0.5000)  6 Se 3.28-3.29
K (0.5000, 0.5000, 0.5000)  6 Se 3.33-3.51
Sr (0.0000, 0.5000, 0.5000)  6 Se 3.07-3.20
Sr (0.5000, 0.5000, 0.0000)  6 Se 3.07-3.20
Tl (0.0000, 0.0000, 0.5000)  6 Se 2.86-3.12
Tl (0.0000, 0.5000, 0.0000)  6 Se 2.86-3.12
Se (0.2029, 0.7465, 0.4564)  2 Tl 2.86, 1 Sr 3.20
Se (0.2098, 0.2535, 0.9564)  2 Tl 2.86, 1 Sr 3.20
Se (0.2422, 0.2628, 0.5206)  2 Sr 3.07, 1 Tl 3.12, 3 K 3.28-3.33
Se (0.2422, 0.7216, 0.9794)  2 Sr 3.07, 1 Tl 3.12, 3 K 3.28-3.33
Se (0.7578, 0.2784, 0.0206)  2 Sr 3.07, 1 Tl 3.12, 3 K 3.28-3.33
Se (0.7578, 0.7372, 0.4794)  2 Sr 3.07, 1 Tl 3.12, 3 K 3.28-3.33
Se (0.7902, 0.7465, 0.0436)  2 Tl 2.86, 1 Sr 3.20
Se (0.7971, 0.2535, 0.5436)  2 Tl 2.86, 1 Sr 3.20